Computed, not measured: BaHoCd2In2 after structural relaxation at the PBE level of DFT.

**Total moment**: 0.00 μB/f.u.
**E_form**: -2.43 eV/f.u.
**Electronic total energy**: -2.707 eV per atom

abc: 4.9928 4.9928 8.2642
angles: 90.00 90.00 120.00
Closest atoms and distances in Å follow each position.
Element x y z (fractional)
Ba 0.0000 0.0000 0.0000  6 In 3.79, 6 Cd 3.85, 2 Ho 4.13
Ho 0.0000 0.0000 0.5000  6 Cd 3.29, 6 In 3.33
Cd 0.6667 0.3333 0.3093  3 In 2.88
Cd 0.3333 0.6667 0.6907  3 In 2.88
In 0.6667 0.3333 0.7028  3 Cd 2.88
In 0.3333 0.6667 0.2972  3 Cd 2.88